No. 1
## NaLi7Cd5 (PBE)

Data for a relaxed structure of NaLi7Cd5.

POSCAR file:
```
NaLi7Cd5
1.0
0.933 0.874 5.650
2.514 -6.158 3.507
6.955 2.472 1.438
Li Cd Na
7 5 1
Cartesian
5.014 -2.277 8.433 Li
3.898 -3.865 5.894 Li
2.365 -0.577 2.668 Li
6.445 1.085 4.707 Li
6.352 0.324 7.810 Li
3.905 -0.713 5.405 Li
6.566 -2.135 5.185 Li
3.895 1.606 3.550 Cd
1.285 -3.000 1.749 Cd
8.028 -2.230 7.928 Cd
3.432 1.172 0.749 Cd
1.748 -2.567 4.551 Cd
0.943 0.869 5.649 Na
```

Results
* D(E_F): 4.1 states/eV/cell
* calculated formation energy: -0.156 eV per atom
* raw total energy: -1.640 eV per atom

No. 2
## NaLiCd11 (PBE)

Data for a relaxed structure of NaLiCd11.

POSCAR file:
```
NaLiCd11
1.0
-1.975 -5.032 -2.399
3.578 -1.883 -6.604
3.882 -6.183 2.484
Cd Na Li
11 1 1
Cartesian
1.789 -0.942 -3.302 Cd
1.349 -5.982 -3.010 Cd
2.844 -7.857 -0.698 Cd
4.480 -9.886 -4.882 Cd
1.886 -9.647 -3.055 Cd
1.004 -3.212 -1.637 Cd
2.641 -5.241 -5.821 Cd
0.954 -5.608 0.042 Cd
1.941 -3.092 1.242 Cd
4.136 -7.116 -3.509 Cd
3.599 -3.451 -3.464 Cd
0.000 0.000 0.000 Na
0.802 -3.457 -4.502 Li
```

Results
* D(E_F): 3.7 states/eV/cell
* calculated formation energy: -0.068 eV per atom
* raw total energy: -1.091 eV per atom

No. 3
## NaLi4Cd7 (PBE)

Data for a relaxed structure of NaLi4Cd7.

POSCAR file:
```
NaLi4Cd7
1.0
5.339 0.000 0.000
2.669 9.040 -0.170
2.669 0.236 5.638
Li Cd Na
4 7 1
Cartesian
8.008 6.347 4.750 Li
2.669 2.930 0.718 Li
5.339 2.163 3.310 Li
5.339 7.114 2.158 Li
5.339 4.220 1.259 Cd
2.669 5.803 1.483 Cd
5.339 5.056 4.209 Cd
2.669 0.903 2.684 Cd
8.008 8.374 2.784 Cd
8.008 3.473 3.985 Cd
2.669 0.000 0.000 Cd
0.000 0.000 0.000 Na
```

Results
* D(E_F): 4.9 states/eV/cell
* calculated formation energy: -0.067 eV per atom
* raw total energy: -1.349 eV per atom

No. 4
## NaLi5Cd6 (PBE)

Data for a relaxed structure of NaLi5Cd6.

POSCAR file:
```
NaLi5Cd6
1.0
-1.330 -1.515 4.255
4.904 -5.149 -0.300
2.900 7.621 1.014
Li Cd Na
5 6 1
Cartesian
2.452 -2.575 -0.150 Li
3.391 -1.864 3.001 Li
0.811 0.593 3.070 Li
3.083 2.822 1.968 Li
5.663 0.364 1.899 Li
0.696 -2.186 2.044 Cd
2.879 -4.478 1.911 Cd
3.536 0.840 4.009 Cd
5.226 -2.284 0.820 Cd
2.938 0.118 0.960 Cd
1.249 3.242 4.149 Cd
0.000 0.000 0.000 Na
```

Results
* D(E_F): 3.2 states/eV/cell
* calculated formation energy: -0.203 eV per atom
* raw total energy: -1.568 eV per atom

No. 5
## NaLi14Cd (PBE)

Data for a relaxed structure of NaLi14Cd.

POSCAR file:
```
NaLi14Cd
1.0
-3.852 3.911 -2.703
-1.037 -1.429 5.858
5.715 7.611 2.868
Li Na Cd
14 1 1
Cartesian
2.775 6.984 1.840 Li
0.747 8.916 0.487 Li
-2.996 2.286 -0.098 Li
-2.043 5.200 -0.914 Li
-2.654 4.445 2.042 Li
0.225 8.279 3.487 Li
-1.056 0.326 1.238 Li
-1.594 -0.373 4.166 Li
-0.239 4.609 5.471 Li
-0.104 3.150 0.396 Li
-0.709 2.395 3.359 Li
2.170 3.386 3.916 Li
2.251 6.338 4.845 Li
-3.532 1.583 2.836 Li
0.258 5.340 2.540 Na
1.671 2.659 6.840 Cd
```

Results
* D(E_F): 6.0 states/eV/cell
* calculated formation energy: -0.021 eV per atom
* raw total energy: -1.835 eV per atom

No. 6
## NaLi2Cd10 (PBE)

Data for a relaxed structure of NaLi2Cd10.

POSCAR file:
```
NaLi2Cd10
1.0
-2.042 0.292 -5.565
1.372 -6.426 -4.005
-7.062 -2.440 -0.702
Cd Na Li
10 1 2
Cartesian
-1.502 -4.974 -2.875 Cd
-5.992 -6.669 -7.646 Cd
-1.740 -1.905 -2.626 Cd
-6.230 -3.601 -7.397 Cd
-1.466 -5.314 -6.071 Cd
-6.266 -3.260 -4.202 Cd
-4.552 -1.074 -3.133 Cd
-3.225 -2.897 -5.298 Cd
-4.506 -5.677 -4.974 Cd
-3.531 -1.220 -0.351 Cd
0.000 0.000 0.000 Na
-0.335 -3.067 -4.785 Li
0.686 -3.213 -2.003 Li
```

Results
* D(E_F): 4.5 states/eV/cell
* calculated formation energy: -0.101 eV per atom
* raw total energy: -1.201 eV per atom

No. 7
## NaLi10Cd4 (PBE)

Data for a relaxed structure of NaLi10Cd4.

POSCAR file:
```
NaLi10Cd4
1.0
7.958 0.000 3.593
3.979 5.999 1.797
1.510 0.000 7.264
Li Cd Na
10 4 1
Cartesian
8.967 5.356 8.468 Li
6.382 4.027 3.586 Li
1.856 0.642 3.001 Li
4.442 1.971 7.883 Li
4.479 0.642 4.185 Li
8.713 2.999 7.225 Li
9.005 4.027 4.771 Li
7.065 1.971 9.067 Li
4.734 2.999 5.428 Li
11.591 5.356 9.653 Li
6.874 1.450 5.993 Cd
6.573 4.549 6.660 Cd
3.382 3.365 3.118 Cd
10.064 2.634 9.536 Cd
0.000 0.000 0.000 Na
```

Results
* D(E_F): 3.4 states/eV/cell
* calculated formation energy: -0.051 eV per atom
* raw total energy: -1.659 eV per atom

No. 8
## NaLi4Cd7 (PBE)

Data for a relaxed structure of NaLi4Cd7.

POSCAR file:
```
NaLi4Cd7
1.0
-0.043 -0.418 -4.839
-2.846 -2.855 2.709
-8.768 8.148 -0.625
Cd Na Li
7 1 4
Cartesian
-3.220 -0.826 0.100 Cd
-9.443 3.276 2.240 Cd
-5.413 1.212 -0.056 Cd
-8.437 5.702 -2.854 Cd
0.000 0.000 0.000 Cd
-2.171 2.017 -0.155 Cd
-6.244 3.664 -2.698 Cd
-4.384 4.074 -0.312 Na
-1.758 -0.504 -2.378 Li
-9.899 5.380 -0.376 Li
-7.697 3.334 -0.219 Li
-3.960 1.542 -2.535 Li
```

Results
* D(E_F): 3.8 states/eV/cell
* calculated formation energy: -0.167 eV per atom
* raw total energy: -1.448 eV per atom

No. 9
## NaLi2Cd3 (PBE)

Data for a relaxed structure of NaLi2Cd3.

POSCAR file:
```
NaLi2Cd3
1.0
-2.476 -1.154 -1.759
1.829 0.161 -2.680
3.785 -11.047 1.918
Li Cd Na
2 3 1
Cartesian
2.913 -9.943 -0.579 Li
0.225 -2.097 -1.942 Li
2.673 -7.802 1.355 Cd
0.000 0.000 0.000 Cd
1.112 -3.245 0.564 Cd
1.569 -6.020 -1.261 Na
```

Results
* D(E_F): 2.2 states/eV/cell
* calculated formation energy: -0.184 eV per atom
* raw total energy: -1.500 eV per atom

No. 10
## Na2LiCd5 (PBE)

Data for a relaxed structure of Na2LiCd5.

POSCAR file:
```
Na2LiCd5
1.0
-2.184 -3.935 0.447
2.204 -0.783 3.871
-6.617 6.550 2.449
Cd Li Na
5 1 2
Cartesian
-3.982 2.833 5.482 Cd
-0.421 0.575 2.998 Cd
0.010 -2.359 2.159 Cd
-2.615 -1.002 1.286 Cd
-6.176 1.257 3.770 Cd
0.000 0.000 0.000 Li
-3.299 2.092 2.301 Na
-3.299 -0.260 4.467 Na
```

Results
* D(E_F): 1.9 states/eV/cell
* calculated formation energy: -0.110 eV per atom
* raw total energy: -1.251 eV per atom

No. 11
## NaLi4Cd (PBE)

Data for a relaxed structure of NaLi4Cd.

POSCAR file:
```
NaLi4Cd
1.0
4.329 -0.401 -3.244
-2.398 4.711 1.216
-1.243 0.921 7.288
Na Cd Li
1 1 4
Cartesian
-1.820 2.816 4.252 Na
0.000 0.000 0.000 Cd
0.471 1.078 2.740 Li
2.163 1.247 -1.803 Li
0.217 4.153 2.521 Li
-1.475 3.984 7.064 Li
```

Results
* D(E_F): 2.6 states/eV/cell
* calculated formation energy: -0.064 eV per atom
* raw total energy: -1.713 eV per atom

No. 12
## NaLiNdCd (PBE)

Data for a relaxed structure of NaLiNdCd.

POSCAR file:
```
NaLiNdCd
1.0
5.320 0.000 0.000
2.660 4.607 0.000
2.660 1.536 4.344
Na Cd Li Nd
1 1 1 1
Cartesian
5.320 3.071 2.172 Na
2.660 1.536 1.086 Cd
7.980 4.607 3.258 Li
0.000 0.000 0.000 Nd
```

Results
* D(E_F): 4.3 states/eV/cell
* calculated formation energy: -0.007 eV per atom
* raw total energy: -2.236 eV per atom

No. 13
## NaLiCdPb (PBE)

Data for a relaxed structure of NaLiCdPb.

POSCAR file:
```
NaLiCdPb
1.0
-1.405 0.087 3.195
1.417 -3.111 0.708
6.472 3.572 2.748
Pb Cd Li Na
1 1 1 1
Cartesian
2.329 -0.230 2.938 Pb
5.064 1.280 4.099 Cd
3.758 2.074 1.596 Li
0.411 0.227 0.175 Na
```

Results
* D(E_F): 1.6 states/eV/cell
* calculated formation energy: -0.172 eV per atom
* raw total energy: -2.136 eV per atom

No. 14
## NaLi2CdPb (PBE)

Data for a relaxed structure of NaLi2CdPb.

POSCAR file:
```
NaLi2CdPb
1.0
5.030 0.000 0.000
-2.515 5.501 0.000
0.000 0.000 8.687
Na Li Pb Cd
2 4 2 2
Cartesian
2.515 0.000 4.344 Na
2.515 0.000 0.000 Na
2.515 3.272 8.080 Li
0.000 2.229 3.736 Li
2.515 3.272 4.951 Li
0.000 2.229 0.607 Li
2.515 2.331 2.172 Pb
0.000 3.171 6.516 Pb
0.000 0.194 6.516 Cd
2.515 5.308 2.172 Cd
```

Results
* D(E_F): 5.0 states/eV/cell
* calculated formation energy: -0.171 eV per atom
* raw total energy: -2.125 eV per atom

No. 15
## NaLiCdPb (PBE)

Data for a relaxed structure of NaLiCdPb.

POSCAR file:
```
NaLiCdPb
1.0
5.120 0.000 0.000
2.560 4.434 0.000
2.560 1.478 4.180
Li Na Cd Pb
1 1 1 1
Cartesian
2.560 1.478 1.045 Li
0.000 0.000 0.000 Na
7.680 4.434 3.135 Cd
5.120 2.956 2.090 Pb
```

Results
* D(E_F): 1.1 states/eV/cell
* calculated formation energy: -0.181 eV per atom
* raw total energy: -2.145 eV per atom

No. 16
## NaLiCdPd (PBE)

Data for a relaxed structure of NaLiCdPd.

POSCAR file:
```
NaLiCdPd
1.0
4.727 0.000 0.000
2.363 4.093 0.000
2.363 1.364 3.859
Cd Pd Na Li
1 1 1 1
Cartesian
7.090 4.093 2.894 Cd
4.727 2.729 1.930 Pd
0.000 0.000 0.000 Na
2.363 1.364 0.965 Li
```

Results
* D(E_F): 2.3 states/eV/cell
* calculated formation energy: -0.234 eV per atom
* raw total energy: -2.569 eV per atom

No. 17
## NaLiPrCd (PBE)

Data for a relaxed structure of NaLiPrCd.

POSCAR file:
```
NaLiPrCd
1.0
5.343 0.000 0.000
2.672 4.627 0.000
2.672 1.542 4.363
Na Li Pr Cd
1 1 1 1
Cartesian
8.015 4.627 3.272 Na
5.343 3.085 2.181 Li
2.672 1.542 1.091 Pr
0.000 0.000 0.000 Cd
```

Results
* D(E_F): 4.3 states/eV/cell
* calculated formation energy: -0.017 eV per atom
* raw total energy: -2.249 eV per atom

No. 18
## NaLiCd2Pt (PBE)

Data for a relaxed structure of NaLiCd2Pt.

POSCAR file:
```
NaLiCd2Pt
1.0
-1.817 4.036 2.847
-2.343 -3.375 3.289
3.949 -0.120 2.691
Pt Na Cd Li
1 1 2 1
Cartesian
0.000 0.000 0.000 Pt
-0.106 0.270 4.413 Na
-1.172 -1.688 1.644 Cd
-0.909 2.018 1.424 Cd
1.974 -0.060 1.345 Li
```

Results
* D(E_F): 1.5 states/eV/cell
* calculated formation energy: -0.198 eV per atom
* raw total energy: -2.418 eV per atom

No. 19
## NaLi2CdPt (PBE)

Data for a relaxed structure of NaLi2CdPt.

POSCAR file:
```
NaLi2CdPt
1.0
-1.781 1.864 4.068
-0.122 -4.397 1.961
4.905 0.682 1.835
Pt Na Cd Li
1 1 1 2
Cartesian
0.000 0.000 0.000 Pt
1.501 -0.926 3.932 Na
2.453 0.341 0.917 Cd
-0.061 -2.199 0.980 Li
-0.890 0.932 2.034 Li
```

Results
* D(E_F): 1.8 states/eV/cell
* calculated formation energy: -0.203 eV per atom
* raw total energy: -2.623 eV per atom

No. 20
## RbNa2LiCd (PBE)

Data for a relaxed structure of RbNa2LiCd.

POSCAR file:
```
RbNa2LiCd
1.0
-1.611 -5.443 -2.186
3.923 0.686 -4.598
3.981 -2.399 3.038
Na Cd Li Rb
2 1 1 1
Cartesian
-0.806 -2.721 -1.093 Na
1.961 0.343 -2.299 Na
0.000 0.000 0.000 Cd
1.990 -1.199 1.519 Li
3.146 -3.578 -1.873 Rb
```

Results
* D(E_F): 2.9 states/eV/cell
* calculated formation energy: 0.055 eV per atom
* raw total energy: -1.232 eV per atom